1.
Compound: TiP2NCl
Source: the Alexandria database
Functional: PBE
Structure: relaxed

E_form (uncorrected)   0.621 eV/atom
Relative energy among the computed polymorphs   0.000 eV per atom

Lattice parameters (Å, degrees): 3.981 3.981 4.397 90.00 90.00 90.00
Sites, in units of the cell vectors:
Ti: 0.500 0.500 0.500
Cl: 0.000 0.000 0.500
N: 0.000 0.000 0.000
P: 0.000 0.500 0.000
P: 0.500 0.000 0.000

---

2.
Compound: Nd2Sm4Hg
Source: the Alexandria database
Functional: PBE
Structure: relaxed

Energy of formation from the pure elements   -0.040 eV/atom

Lattice parameters (Å, degrees): 3.682 8.291 9.044 119.57 101.75 90.00
Sites, in units of the cell vectors:
Nd: 0.788 0.704 0.577
Nd: 0.212 0.296 0.423
Sm: 0.854 0.181 0.709
Sm: 0.443 0.628 0.885
Sm: 0.146 0.819 0.291
Sm: 0.557 0.372 0.115
Hg: 0.000 0.000 0.000

---

3.
Compound: NpBe4Re
Source: the Alexandria database
Functional: PBE
Structure: relaxed

Energy of formation from the pure elements   0.168 eV/atom

Lattice parameters (Å, degrees): 4.688 4.688 4.688 60.00 60.00 60.00
Last column: magnetic moment on the atom in μB.
Sites, in units of the cell vectors:
Be: 0.626 0.626 0.122  0.00
Be: 0.626 0.122 0.626  0.00
Be: 0.626 0.626 0.626  0.00
Be: 0.122 0.626 0.626  0.00
Re: 0.000 0.000 0.000  -0.36
Np: 0.250 0.250 0.250  3.02